! UMoAs2 (PBE, relaxed); values from VASP
! distance to the lowest polymorph of the same formula	0.080	eV per atom
! total DFT energy (no corrections)	-8.07	eV/atom
! crystal system	tetragonal
! ΔH_f (0 K)	-0.215	eV/atom
! Fermi-level density of states	1.863	states/eV/atom
! mass density	11.01	g/cm³
&SYSTEM
  ibrav = 0, nat = 4, ntyp = 3
/
ATOMIC_SPECIES
Mo 95.94 Mo.upf
U 238.03 U.upf
As 74.92 As.upf
ATOMIC_POSITIONS angstrom
Mo -2.127 0.422 0.704
U -0.891 2.688 3.080
As 1.951 3.575 3.749
As 0.522 0.956 1.003
CELL_PARAMETERS angstrom
-2.296 2.111 -0.819
-1.959 -1.266 2.227
2.472 4.531 4.752